(1)
Computed, not measured: an optimized crystal structure of ZrTaW4 at the PBEsol level of DFT.

Cell: 5.2998 5.2998 5.2998 Å, 60.00 60.00 60.00°
Element x y z (fractional)
Ta: 0.0000 0.0000 0.0000
W: 0.3749 0.8754 0.3749
W: 0.3749 0.3749 0.8754
W: 0.8754 0.3749 0.3749
W: 0.3749 0.3749 0.3749
Zr: 0.7500 0.7500 0.7500

Calculated values
The value obtained for the spin magnetization is 0.000 μB per formula unit. The crystal system is cubic. The formation energy is -0.04 eV per atom.


(2)
Computed, not measured: an optimized crystal structure of Li3Al at the PBEsol level of DFT.

Cell: 4.0647 4.0647 4.0647 Å, 90.00 90.00 90.00°
Element x y z (fractional)
Li: 0.5000 0.5000 0.0000
Li: 0.0000 0.5000 0.5000
Li: 0.5000 0.0000 0.5000
Al: 0.0000 0.0000 0.0000

Calculated values
The value obtained for the spin magnetization is 0.000 μB per formula unit. The crystal system is cubic. The formation energy is -0.03 eV per atom.